No. 1
This record from Alexandria describes a relaxed TbBiI crystal. The functional is GGA-PBE.

Summary:
* uncorrected formation energy: -0.78 eV per atom
* polymorph energy (0 for the lowest one): 0.0 meV/atom
* energy: -24.8 eV per cell
* size of the total moment: 0.000 μB per atom

Cell: 3.9473 3.9473 12.7977 Å, 90.00 90.00 90.00°
Fractional positions:
Tb  0.2500  0.2500  0.2090
Tb  0.7500  0.7500  0.7910
Bi  0.2500  0.2500  0.9287
Bi  0.7500  0.7500  0.0713
I  0.2500  0.2500  0.6444
I  0.7500  0.7500  0.3556



No. 2
This record from Alexandria describes a relaxed Tb2BiI crystal. The functional is GGA-PBE.

Summary:
* uncorrected formation energy: -0.75 eV per atom
* polymorph energy (0 for the lowest one): 0.0 meV/atom
* energy: -17.7 eV per cell
* size of the total moment: 0.000 μB per atom

Cell: 8.4040 8.4040 8.4040 Å, 29.39 29.39 29.39°
Fractional positions:
Tb  0.0000  0.0000  0.0000
Tb  0.1815  0.1815  0.1815
Bi  0.5898  0.5898  0.5898
I  0.7588  0.7588  0.7588



No. 3
This record from Alexandria describes a relaxed Tb3BiI7 crystal. The functional is GGA-PBE.

Summary:
* uncorrected formation energy: -1.15 eV per atom
* energy: -41.3 eV per cell
* size of the total moment: 0.096 μB per atom

Cell: 8.6902 8.6902 7.5546 Å, 90.00 90.00 120.00°
Fractional positions:
Tb  0.0137  0.5069  0.0000
Tb  0.4931  0.5069  0.0000
Tb  0.4931  0.9863  0.0000
Bi  0.3333  0.6667  0.2768
I  0.1683  0.3367  0.7579
I  0.1683  0.8317  0.7579
I  0.3376  0.1688  0.2267
I  0.6633  0.8317  0.7579
I  0.6667  0.3333  0.7580
I  0.8312  0.1688  0.2267
I  0.8312  0.6624  0.2267



No. 4
This record from Alexandria describes a relaxed Tc2BiI crystal. The functional is GGA-PBE.

Summary:
* uncorrected formation energy: 1.22 eV per atom
* polymorph energy (0 for the lowest one): 299.6 meV/atom
* energy: -42.6 eV per cell
* size of the total moment: 0.000 μB per atom

Cell: 7.2842 7.2842 7.2842 Å, 129.94 129.94 73.50°
Fractional positions:
Tc  0.1077  0.6250  0.9827
Tc  0.3750  0.3577  0.4827
Tc  0.6423  0.1250  0.0173
Tc  0.8750  0.8923  0.5173
Bi  0.2500  0.7500  0.5000
Bi  0.5000  0.5000  0.0000
I  0.0000  0.0000  0.0000
I  0.7500  0.2500  0.5000



No. 5
This record from Alexandria describes a relaxed TcBiI3 crystal. The functional is GGA-PBE.

Summary:
* uncorrected formation energy: 0.51 eV per atom
* polymorph energy (0 for the lowest one): 0.0 meV/atom
* energy: -16.4 eV per cell
* size of the total moment: 0.200 μB per atom

Cell: 5.4730 5.4730 5.4730 Å, 90.00 90.00 90.00°
Fractional positions:
Tc  0.0000  0.0000  0.0000
Bi  0.5000  0.5000  0.5000
I  0.0000  0.0000  0.5000
I  0.0000  0.5000  0.0000
I  0.5000  0.0000  0.0000



No. 6
This record from Alexandria describes a relaxed Tc2BiI crystal. The functional is GGA-PBE.

Summary:
* uncorrected formation energy: 0.92 eV per atom
* polymorph energy (0 for the lowest one): 0.0 meV/atom
* energy: -22.5 eV per cell
* size of the total moment: 0.000 μB per atom

Cell: 4.7734 4.7734 4.7734 Å, 60.00 60.00 60.00°
Fractional positions:
Tc  0.2500  0.2500  0.2500
Tc  0.7500  0.7500  0.7500
Bi  0.0000  0.0000  0.0000
I  0.5000  0.5000  0.5000



No. 7
This record from Alexandria describes a relaxed TcBi3I crystal. The functional is GGA-PBE.

Summary:
* uncorrected formation energy: 0.40 eV per atom
* polymorph energy (0 for the lowest one): 0.0 meV/atom
* energy: -21.6 eV per cell
* size of the total moment: 0.000 μB per atom

Cell: 5.4002 5.4002 5.4002 Å, 90.00 90.00 90.00°
Fractional positions:
Tc  0.0000  0.0000  0.0000
Bi  0.0000  0.0000  0.5000
Bi  0.0000  0.5000  0.0000
Bi  0.5000  0.0000  0.0000
I  0.5000  0.5000  0.5000



No. 8
This record from Alexandria describes a relaxed TcBiTe2I crystal. The functional is GGA-PBE.

Summary:
* uncorrected formation energy: 0.45 eV per atom
* polymorph energy (0 for the lowest one): 0.0 meV/atom
* energy: -19.8 eV per cell
* size of the total moment: 0.000 μB per atom

Cell: 5.2122 5.2122 5.5182 Å, 90.00 90.00 90.00°
Fractional positions:
Tc  0.0000  0.0000  0.0000
Bi  0.5000  0.5000  0.5000
Te  0.0000  0.5000  0.0000
Te  0.5000  0.0000  0.0000
I  0.0000  0.0000  0.5000



No. 9
This record from Alexandria describes a relaxed VTcBi2I crystal. The functional is GGA-PBE.

Summary:
* uncorrected formation energy: 0.66 eV per atom
* energy: -25.5 eV per cell
* size of the total moment: 0.489 μB per atom

Cell: 5.3666 5.3666 4.9100 Å, 90.00 90.00 90.00°
Fractional positions:
V  0.0000  0.0000  0.0000
Tc  0.0000  0.0000  0.5000
Bi  0.0000  0.5000  0.5000
Bi  0.5000  0.0000  0.5000
I  0.5000  0.5000  0.0000



No. 10
This record from Alexandria describes a relaxed Zn2TcBiI crystal. The functional is GGA-PBE.

Summary:
* uncorrected formation energy: 1.27 eV per atom
* energy: -12.0 eV per cell
* size of the total moment: 0.493 μB per atom

Cell: 5.2441 5.2441 5.1081 Å, 90.00 90.00 90.00°
Fractional positions:
Zn  0.0000  0.5000  0.0000
Zn  0.5000  0.0000  0.0000
Tc  0.0000  0.0000  0.5000
Bi  0.5000  0.5000  0.5000
I  0.0000  0.0000  0.0000



No. 11
This record from Alexandria describes a relaxed BiTeI crystal. The functional is GGA-PBE.

Summary:
* uncorrected formation energy: -0.36 eV per atom
* energy: -9.7 eV per cell
* size of the total moment: 0.000 μB per atom

Cell: 4.4216 4.4216 7.5083 Å, 90.00 90.00 120.00°
Fractional positions:
Bi  0.0000  0.0000  0.0000
Te  0.6667  0.3333  0.7728
I  0.3333  0.6667  0.2772



No. 12
This record from Alexandria describes a relaxed Bi2TeI2 crystal. The functional is GGA-PBE.

Summary:
* uncorrected formation energy: 0.38 eV per atom
* polymorph energy (0 for the lowest one): 414.5 meV/atom
* energy: -24.2 eV per cell
* size of the total moment: 0.000 μB per atom

Cell: 9.7429 9.7429 3.6173 Å, 90.00 90.00 90.00°
Fractional positions:
Bi  0.1922  0.3078  0.0000
Bi  0.3078  0.8078  0.0000
Bi  0.6922  0.1922  0.0000
Bi  0.8078  0.6922  0.0000
Te  0.0000  0.0000  0.5000
Te  0.5000  0.5000  0.5000
I  0.1210  0.6210  0.5000
I  0.3790  0.1210  0.5000
I  0.6210  0.8790  0.5000
I  0.8790  0.3790  0.5000



No. 13
This record from Alexandria describes a relaxed Bi2TeI2 crystal. The functional is GGA-PBE.

Summary:
* uncorrected formation energy: -0.04 eV per atom
* polymorph energy (0 for the lowest one): 0.0 meV/atom
* energy: -56.8 eV per cell
* size of the total moment: 0.000 μB per atom

Cell: 9.7575 6.5856 13.9286 Å, 90.00 90.00 90.00°
Fractional positions:
Bi  0.1126  0.2500  0.2361
Bi  0.1230  0.2500  0.5629
Bi  0.3770  0.7500  0.0629
Bi  0.3874  0.7500  0.7361
Bi  0.6126  0.2500  0.2639
Bi  0.6230  0.2500  0.9371
Bi  0.8770  0.7500  0.4371
Bi  0.8874  0.7500  0.7639
Te  0.1996  0.7500  0.8952
Te  0.3004  0.2500  0.3952
Te  0.6996  0.7500  0.6048
Te  0.8004  0.2500  0.1048
I  0.1128  0.7500  0.2146
I  0.1463  0.7500  0.5786
I  0.3537  0.2500  0.0786
I  0.3872  0.2500  0.7146
I  0.6128  0.7500  0.2854
I  0.6463  0.7500  0.9214
I  0.8537  0.2500  0.4214
I  0.8872  0.2500  0.7854



No. 14
This record from Alexandria describes a relaxed Bi3Te3I crystal. The functional is GGA-PBE.

Summary:
* uncorrected formation energy: -0.08 eV per atom
* energy: -46.4 eV per cell
* size of the total moment: 0.000 μB per atom

Cell: 8.7465 8.7465 8.7465 Å, 68.58 68.58 68.58°
Fractional positions:
Bi  0.1148  0.4623  0.7231
Bi  0.2769  0.8852  0.5377
Bi  0.4623  0.7231  0.1148
Bi  0.5377  0.2769  0.8852
Bi  0.7231  0.1148  0.4623
Bi  0.8852  0.5377  0.2769
Te  0.1262  0.6802  0.3714
Te  0.3198  0.6286  0.8738
Te  0.3714  0.1262  0.6802
Te  0.6286  0.8738  0.3198
Te  0.6802  0.3714  0.1262
Te  0.8738  0.3198  0.6286
I  0.1806  0.1806  0.1806
I  0.8194  0.8194  0.8194



No. 15
This record from Alexandria describes a relaxed Bi4Te4I3 crystal. The functional is GGA-PBE.

Summary:
* uncorrected formation energy: -0.06 eV per atom
* energy: -33.4 eV per cell
* size of the total moment: 0.000 μB per atom

Cell: 10.6447 10.6447 10.6447 Å, 157.10 125.14 60.21°
Fractional positions:
Bi  0.2314  0.2314  0.0000
Bi  0.2647  0.5000  0.7647
Bi  0.7353  0.5000  0.2353
Bi  0.7686  0.7686  0.0000
Te  0.0333  0.3325  0.7008
Te  0.3683  0.6675  0.7008
Te  0.6317  0.3325  0.2992
Te  0.9667  0.6675  0.2992
I  0.0000  0.0000  0.0000
I  0.4004  0.9004  0.5000
I  0.5996  0.0996  0.5000



No. 16
This record from Alexandria describes a relaxed BiTe2I8 crystal. The functional is GGA-PBE.

Summary:
* uncorrected formation energy: -0.09 eV per atom
* energy: -23.6 eV per cell
* size of the total moment: 0.000 μB per atom

Cell: 9.0917 9.0917 8.4397 Å, 109.40 109.40 59.07°
Fractional positions:
Bi  0.0000  0.0000  0.0000
Te  0.1379  0.1379  0.5500
Te  0.8621  0.8621  0.4500
I  0.1810  0.7193  0.2197
I  0.2043  0.2043  0.2779
I  0.2807  0.8190  0.7803
I  0.3049  0.3049  0.8098
I  0.6951  0.6951  0.1902
I  0.7193  0.1810  0.2197
I  0.7957  0.7957  0.7221
I  0.8190  0.2807  0.7803



No. 17
This record from Alexandria describes a relaxed BiTe3I crystal. The functional is GGA-PBE.

Summary:
* uncorrected formation energy: 0.81 eV per atom
* polymorph energy (0 for the lowest one): 234.3 meV/atom
* energy: -10.8 eV per cell
* size of the total moment: 0.000 μB per atom

Cell: 5.8073 5.8073 5.8073 Å, 90.00 90.00 90.00°
Fractional positions:
Bi  0.0000  0.0000  0.0000
Te  0.0000  0.5000  0.5000
Te  0.5000  0.0000  0.5000
Te  0.5000  0.5000  0.0000
I  0.5000  0.5000  0.5000



No. 18
This record from Alexandria describes a relaxed Bi2TeI2 crystal. The functional is GGA-PBE.

Summary:
* uncorrected formation energy: 0.25 eV per atom
* polymorph energy (0 for the lowest one): 289.1 meV/atom
* energy: -12.8 eV per cell
* size of the total moment: 0.000 μB per atom

Cell: 8.1570 8.1570 8.1570 Å, 143.90 143.90 51.98°
Fractional positions:
Bi  0.1036  0.1036  0.0000
Bi  0.8964  0.8964  0.0000
Te  0.5000  0.5000  0.0000
I  0.2500  0.7500  0.5000
I  0.7500  0.2500  0.5000



No. 19
This record from Alexandria describes a relaxed BiTeI3 crystal. The functional is GGA-PBE.

Summary:
* uncorrected formation energy: 0.35 eV per atom
* polymorph energy (0 for the lowest one): 162.6 meV/atom
* energy: -9.9 eV per cell
* size of the total moment: 0.432 μB per atom

Cell: 6.0860 6.0860 6.0860 Å, 90.00 90.00 90.00°
Fractional positions:
Bi  0.0000  0.0000  0.0000
Te  0.5000  0.5000  0.5000
I  0.0000  0.5000  0.5000
I  0.5000  0.0000  0.5000
I  0.5000  0.5000  0.0000



No. 20
This record from Alexandria describes a relaxed BiTe3I crystal. The functional is GGA-PBE.

Summary:
* uncorrected formation energy: 0.57 eV per atom
* polymorph energy (0 for the lowest one): 0.0 meV/atom
* energy: -12.0 eV per cell
* size of the total moment: 0.000 μB per atom

Cell: 5.9442 5.9442 5.9442 Å, 90.00 90.00 90.00°
Fractional positions:
Bi  0.0000  0.0000  0.0000
Te  0.0000  0.0000  0.5000
Te  0.0000  0.5000  0.0000
Te  0.5000  0.0000  0.0000
I  0.5000  0.5000  0.5000